Material: Nd2DyCu3
Method: DFT, GGA-PBE
State: optimized geometry

The value obtained for the density of states at the Fermi level is 16.74 states/eV/cell. As for the total moment: 0.0 Bohr magnetons per cell. The value obtained for the energy above the most stable polymorph in this dataset is 0.004 eV per atom. For the formation energy, the calculation gives -0.18 eV per atom.

The structure belongs to space group Cmmm (No. 65); the cell edges are 5.029, 15.122 and 7.068 Å and the angles 90.00°, 90.00° and 90.00°. The inequivalent atoms are Nd at (0.000, 0.000, 0.000), Nd at (0.000, 0.000, 0.500), Nd at (0.000, 0.334, 0.000), Dy at (0.000, 0.332, 0.500), Cu at (0.000, 0.171, 0.267) and Cu at (0.000, 0.500, 0.259).

Material: Nd2DyCu2
Method: DFT, GGA-PBE
State: optimized geometry

The value obtained for the density of states at the Fermi level is 18.32 states/eV/cell. As for the total moment: 0.0 Bohr magnetons per cell. For the formation energy, the calculation gives -0.10 eV per atom.

The structure belongs to space group C2/m (No. 12); the cell edges are 11.916, 4.666 and 10.472 Å and the angles 90.00°, 121.06° and 90.00°. The inequivalent atoms are Nd at (0.036, 0.000, 0.191), Nd at (0.180, 0.000, 0.590), Dy at (0.196, 0.500, 0.854), Cu at (0.046, 0.500, 0.412) and Cu at (0.124, 0.500, 0.069).